VASP calculation (meta-GGA SCAN) on AlCuTc2 at its PBEsol-relaxed geometry.

Total magnetization: 0.000 Bohr magnetons per cell
Energy of formation: 0.046 eV per atom

abc: 4.6714 2.6935 8.7408
angles: 90.00 99.93 90.00
Space group C2/m (No. 12)
One atom of each set of equivalent atoms:
Al (0.0000, 0.0000, 0.0000) (multiplicity 2)
Cu (0.0000, 0.5000, 0.5000) (multiplicity 2)
Tc (0.2484, 0.0000, 0.7486) (multiplicity 4)